# 1
Density functional theory data (GGA-PBEsol) for an optimized crystal structure of AlCrAgF2.

Summary:
E_form (uncorrected)   -0.9238 eV per atom

Unit cell a=3.668 b=3.668 c=6.000 alpha=90.00 beta=90.00 gamma=90.00
Space group P4/mmm (No. 123)
Asymmetric unit:
Al 0.000 0.000 0.000
Cr 0.000 0.000 0.500
Ag 0.500 0.500 0.500
F 0.000 0.500 0.000


# 2
Density functional theory data (GGA-PBEsol) for an optimized crystal structure of AlCu2Ag.

Summary:
Formation enthalpy at 0 K   -102 meV/atom

Unit cell a=3.745 b=3.745 c=7.620 alpha=90.00 beta=90.00 gamma=90.00
Space group I4/mmm (No. 139)
Asymmetric unit:
Al 0.000 0.000 0.000
Cu 0.000 0.500 0.250
Ag 0.000 0.000 0.500


# 3
Density functional theory data (GGA-PBEsol) for an optimized crystal structure of AlCuAg2.

Summary:
Formation enthalpy at 0 K   -55 meV/atom

Unit cell a=4.189 b=2.827 c=10.066 alpha=90.00 beta=90.00 gamma=90.00
Space group Amm2 (No. 38)
Asymmetric unit:
Al 0.000 0.000 0.000
Cu 0.500 0.000 0.870
Ag 0.000 0.000 0.266
Ag 0.500 0.000 0.607


# 4
Density functional theory data (GGA-PBEsol) for an optimized crystal structure of AlCuAg2.

Summary:
Formation enthalpy at 0 K   -75 meV/atom

Unit cell a=9.420 b=2.961 c=4.516 alpha=90.00 beta=109.98 gamma=90.00
Space group Cm (No. 8)
Asymmetric unit:
Al 0.000 0.000 0.000
Cu 0.221 0.500 0.278
Ag 0.247 0.000 0.796
Ag 0.473 0.000 0.477


# 5
Density functional theory data (GGA-PBEsol) for an optimized crystal structure of AlCu2Ag.

Summary:
Formation enthalpy at 0 K   -101 meV/atom

Unit cell a=3.036 b=3.036 c=5.802 alpha=90.00 beta=90.00 gamma=90.00
Space group P4/mmm (No. 123)
Asymmetric unit:
Al 0.000 0.000 0.000
Cu 0.500 0.500 0.229
Ag 0.000 0.000 0.500


# 6
Density functional theory data (GGA-PBEsol) for an optimized crystal structure of AlCuAg2.

Summary:
Formation enthalpy at 0 K   -74 meV/atom

Unit cell a=3.850 b=3.850 c=7.982 alpha=90.00 beta=90.00 gamma=90.00
Space group I-4m2 (No. 119)
Asymmetric unit:
Al 0.000 0.000 0.000
Cu 0.000 0.500 0.250
Ag 0.000 0.000 0.500
Ag 0.000 0.500 0.750


# 7
Density functional theory data (GGA-PBEsol) for an optimized crystal structure of AlCuAg.

Summary:
Formation enthalpy at 0 K   -109 meV/atom
Offset from the most stable computed form   0.36 kcal/mol of atoms

Unit cell a=2.928 b=2.928 c=9.926 alpha=90.00 beta=90.00 gamma=90.00
Space group I4mm (No. 107)
Asymmetric unit:
Al 0.000 0.000 0.000
Cu 0.000 0.000 0.357
Ag 0.000 0.000 0.681


# 8
Density functional theory data (GGA-PBEsol) for an optimized crystal structure of Al2CuAg.

Summary:
Formation enthalpy at 0 K   14 meV/atom
Offset from the most stable computed form   2.51 kcal/mol of atoms

Unit cell a=5.610 b=8.772 c=2.805 alpha=90.00 beta=119.73 gamma=90.00
Space group C2/m (No. 12)
Asymmetric unit:
Al 0.250 0.250 0.000
Cu 0.000 0.000 0.500
Ag 0.000 0.500 0.500


# 9
Density functional theory data (GGA-PBEsol) for an optimized crystal structure of AlCuAg2.

Summary:
Formation enthalpy at 0 K   -68 meV/atom

Unit cell a=3.912 b=3.912 c=7.738 alpha=90.00 beta=90.00 gamma=90.00
Space group I4/mmm (No. 139)
Asymmetric unit:
Al 0.000 0.000 0.000
Cu 0.000 0.000 0.500
Ag 0.000 0.500 0.250


# 10
Density functional theory data (GGA-PBEsol) for an optimized crystal structure of Al2CuAg.

Summary:
Formation enthalpy at 0 K   -32 meV/atom
Offset from the most stable computed form   1.47 kcal/mol of atoms

Unit cell a=2.783 b=2.783 c=7.663 alpha=90.00 beta=90.00 gamma=90.00
Space group P4mm (No. 99)
Asymmetric unit:
Al 0.000 0.000 0.000
Al 0.500 0.500 0.273
Cu 0.000 0.000 0.485
Ag 0.500 0.500 0.737


# 11
Density functional theory data (GGA-PBEsol) for an optimized crystal structure of AlCu2Ag.

Summary:
Formation enthalpy at 0 K   -103 meV/atom

Unit cell a=3.736 b=3.736 c=7.664 alpha=90.00 beta=90.00 gamma=90.00
Space group I-4m2 (No. 119)
Asymmetric unit:
Al 0.000 0.000 0.000
Cu 0.000 0.000 0.500
Cu 0.000 0.500 0.250
Ag 0.000 0.500 0.750


# 12
Density functional theory data (GGA-PBEsol) for an optimized crystal structure of Al2CuAg.

Summary:
Formation enthalpy at 0 K   -49 meV/atom
Offset from the most stable computed form   1.07 kcal/mol of atoms

Unit cell a=5.463 b=7.159 c=3.012 alpha=90.00 beta=90.00 gamma=90.00
Space group Cmmm (No. 65)
Asymmetric unit:
Al 0.250 0.250 0.000
Cu 0.000 0.000 0.500
Ag 0.000 0.500 0.500


# 13
Density functional theory data (GGA-PBEsol) for an optimized crystal structure of Al2CuAg.

Summary:
Formation enthalpy at 0 K   -92 meV/atom
Offset from the most stable computed form   0.06 kcal/mol of atoms

Unit cell a=2.852 b=4.499 c=4.564 alpha=90.00 beta=90.00 gamma=90.00
Space group Pmm2 (No. 25)
Asymmetric unit:
Al 0.000 0.000 0.000
Al 0.500 0.500 0.194
Cu 0.000 0.500 0.715
Ag 0.500 0.000 0.506


What are the ρ values for these records? In order: 4.63; 8.14; 8.53; 8.59; 8.13; 8.60; 7.74; 6.25; 8.59; 6.31; 8.13; 6.35; 6.39 g/cm³.